(1)
# SrTc2Os

SrTc2Os after structural relaxation (PBE-GGA, the Alexandria database).

Unit cell a=2.8379 b=2.8379 c=8.9678 alpha=90.00 beta=90.00 gamma=89.99
Sites, in units of the cell vectors:
1 Os 0.5000 0.5000 0.2500
2 Sr 0.5000 0.5000 0.7500
3 Tc 0.0000 0.0000 0.0492
4 Tc 0.0000 0.0000 0.4508

Results
- D(E_F) (states/eV per cell) = 6.13
- ΔE_f (eV per atom) = 0.6785
- excess energy over the best structure of this formula in the dataset (eV per atom) = 0.0681


(2)
# Pm2Y5Sn5

Pm2Y5Sn5 after structural relaxation (PBE-GGA, the Alexandria database).

Unit cell a=4.4231 b=7.5438 c=12.7085 alpha=105.81 beta=90.00 gamma=107.05
Last column: magnetic moment on the atom in μB.
Sites, in units of the cell vectors:
1 Pm 0.0519 0.1038 0.7799  0.05
2 Pm 0.9481 0.8962 0.2201  0.05
3 Y 0.5000 0.0000 0.5000  0.01
4 Y 0.6560 0.3119 0.0408  0.08
5 Y 0.7273 0.4547 0.3487  0.03
6 Y 0.2727 0.5453 0.6513  0.03
7 Y 0.3440 0.6881 0.9592  0.08
8 Sn 0.1179 0.2357 0.4326  -0.01
9 Sn 0.7117 0.4233 0.8035  -0.01
10 Sn 0.2883 0.5767 0.1965  -0.01
11 Sn 0.8821 0.7643 0.5674  -0.01
12 Sn 0.0000 0.0000 0.0000  -0.01

Results
- D(E_F) (states/eV per cell) = 8.18
- ΔE_f (eV per atom) = -0.5383


(3)
# Ac7Nd12Y

Ac7Nd12Y after structural relaxation (PBE-GGA, the Alexandria database).

Unit cell a=10.5460 b=10.5460 c=10.5460 alpha=109.47 beta=109.47 gamma=109.47
Sites, in units of the cell vectors:
1 Ac 0.5000 0.5000 0.0000
2 Ac 0.0000 0.5000 0.5000
3 Ac 0.5000 0.0000 0.5000
4 Ac 0.5000 0.5000 0.5000
5 Ac 0.0000 0.0000 0.5000
6 Ac 0.5000 0.0000 0.0000
7 Ac 0.0000 0.5000 0.0000
8 Nd 0.4342 0.6766 0.7577
9 Nd 0.9189 0.6766 0.2423
10 Nd 0.5658 0.3234 0.2423
11 Nd 0.0811 0.3234 0.7577
12 Nd 0.7577 0.0811 0.3234
13 Nd 0.7577 0.4342 0.6766
14 Nd 0.2423 0.9189 0.6766
15 Nd 0.2423 0.5658 0.3234
16 Nd 0.6766 0.7577 0.4342
17 Nd 0.3234 0.2423 0.5658
18 Nd 0.6766 0.2423 0.9189
19 Nd 0.3234 0.7577 0.0811
20 Y 0.0000 0.0000 0.0000

Results
- D(E_F) (states/eV per cell) = 31.05
- ΔE_f (eV per atom) = 0.7973


(4)
# SrRuF2

SrRuF2 after structural relaxation (PBE-GGA, the Alexandria database).

Unit cell a=6.3471 b=6.3471 c=6.3471 alpha=36.25 beta=36.25 gamma=36.25
Last column: magnetic moment on the atom in μB.
Sites, in units of the cell vectors:
1 Ru 0.0000 0.0000 0.0000  2.00
2 F 0.8799 0.8799 0.8799  0.01
3 F 0.1201 0.1201 0.1201  0.01
4 Sr 0.5000 0.5000 0.5000  -0.01

Results
- D(E_F) (states/eV per cell) = 6.67
- excess energy over the best structure of this formula in the dataset (eV per atom) = 0.0000
- E_form (uncorrected) (eV per atom) = -1.606


(5)
# Ce2AuN

Ce2AuN after structural relaxation (PBE-GGA, the Alexandria database).

Unit cell a=3.5836 b=3.5836 c=7.8040 alpha=89.83 beta=103.38 gamma=120.17
Sites, in units of the cell vectors:
1 Ce 0.5430 0.2727 0.8157
2 Ce 0.4570 0.7273 0.1843
3 Au 0.0000 0.5000 0.5000
4 N 0.0000 0.0000 0.0000

Results
- D(E_F) (states/eV per cell) = 7.47
- E_form (uncorrected) (eV per atom) = -0.920


(6)
# AcNd5Y12

AcNd5Y12 after structural relaxation (PBE-GGA, the Alexandria database).

Unit cell a=11.5788 b=10.5428 c=5.9936 alpha=90.12 beta=90.23 gamma=56.69
Sites, in units of the cell vectors:
1 Ac 0.0000 0.0000 0.0000
2 Nd 0.5000 0.0000 0.5000
3 Nd 0.1658 0.6685 0.5000
4 Nd 0.8343 0.3315 0.5000
5 Nd 0.6714 0.6572 0.0000
6 Nd 0.3286 0.3428 0.0000
7 Y 0.8176 0.0000 0.4626
8 Y 0.1824 0.0000 0.5374
9 Y 0.6681 0.0000 0.9601
10 Y 0.3319 0.0000 0.0399
11 Y 0.3471 0.6660 0.9508
12 Y 0.9869 0.6659 0.0492
13 Y 0.0131 0.3340 0.9508
14 Y 0.6529 0.3341 0.0492
15 Y 0.5064 0.3351 0.5481
16 Y 0.8415 0.6649 0.5481
17 Y 0.1585 0.3351 0.4519
18 Y 0.4936 0.6649 0.4519

Results
- D(E_F) (states/eV per cell) = 34.36
- ΔE_f (eV per atom) = 0.0973


(7)
# Tl3Au4

Tl3Au4 after structural relaxation (PBE-GGA, the Alexandria database).

Unit cell a=3.9812 b=5.9860 c=15.0214 alpha=90.00 beta=90.00 gamma=110.20
Sites, in units of the cell vectors:
1 Tl 0.6768 0.3569 0.0994
2 Tl 0.3257 0.6479 0.9012
3 Tl 0.6766 0.3567 0.4013
4 Tl 0.3255 0.6478 0.5994
5 Tl 0.9717 0.9425 0.2504
6 Tl 0.0306 0.0621 0.7504
7 Au 0.2366 0.4652 0.2503
8 Au 0.7655 0.5395 0.7503
9 Au 0.3867 0.7812 0.1036
10 Au 0.0013 0.0024 0.0003
11 Au 0.3866 0.7810 0.3971
12 Au 0.6158 0.2235 0.8971
13 Au 0.0011 0.0022 0.5004
14 Au 0.6156 0.2234 0.6037

Results
- D(E_F) (states/eV per cell) = 4.45
- ΔE_f (eV per atom) = -0.0099
- excess energy over the best structure of this formula in the dataset (eV per atom) = 0.0000


(8)
# ScMnCl2

ScMnCl2 after structural relaxation (PBE-GGA, the Alexandria database).

Unit cell a=4.6284 b=4.6284 c=4.6284 alpha=60.00 beta=60.00 gamma=60.00
Last column: magnetic moment on the atom in μB.
Sites, in units of the cell vectors:
1 Sc 0.0000 0.0000 0.0000  -0.36
2 Mn 0.5000 0.5000 0.5000  3.82
3 Cl 0.2500 0.2500 0.2500  0.07
4 Cl 0.7500 0.7500 0.7500  0.07

Results
- D(E_F) (states/eV per cell) = 1.41
- excess energy over the best structure of this formula in the dataset (eV per atom) = 0.4640
- E_form (uncorrected) (eV per atom) = -0.449


(9)
# Cd3AsI3

Cd3AsI3 after structural relaxation (PBE-GGA, the Alexandria database).

Unit cell a=7.4299 b=9.4519 c=9.4518 alpha=120.01 beta=90.00 gamma=90.00
Sites, in units of the cell vectors:
1 Cd 0.7500 0.6407 0.8200
2 Cd 0.7500 0.1793 0.3593
3 Cd 0.7500 0.1799 0.8207
4 Cd 0.2500 0.3593 0.1800
5 Cd 0.2500 0.8207 0.6407
6 Cd 0.2500 0.8201 0.1793
7 As 0.7500 0.3333 0.6667
8 As 0.2500 0.6667 0.3333
9 I 0.2500 0.6599 0.8297
10 I 0.2500 0.1698 0.3401
11 I 0.2500 0.1703 0.8302
12 I 0.7500 0.3401 0.1703
13 I 0.7500 0.8302 0.6599
14 I 0.7500 0.8297 0.1698

Results
- D(E_F) (states/eV per cell) = 6.83
- excess energy over the best structure of this formula in the dataset (eV per atom) = 0.2067
- E_form (uncorrected) (eV per atom) = -0.233


(10)
# TaBC3

TaBC3 after structural relaxation (PBE-GGA, the Alexandria database).

Unit cell a=3.4645 b=3.4645 c=3.4645 alpha=90.00 beta=90.00 gamma=90.00
Sites, in units of the cell vectors:
1 C 0.0000 0.5000 0.0000
2 C 0.0000 0.0000 0.5000
3 C 0.5000 0.0000 0.0000
4 B 0.0000 0.0000 0.0000
5 Ta 0.5000 0.5000 0.5000

Results
- D(E_F) (states/eV per cell) = 2.41
- ΔE_f (eV per atom) = 1.7353
- excess energy over the best structure of this formula in the dataset (eV per atom) = 0.0000


(11)
# Fe2BiPd2

Fe2BiPd2 after structural relaxation (PBE-GGA, the Alexandria database).

Unit cell a=7.5730 b=7.5730 c=2.9611 alpha=90.00 beta=90.00 gamma=90.00
Last column: magnetic moment on the atom in μB.
Sites, in units of the cell vectors:
1 Bi 0.0000 0.0000 0.0000  -0.03
2 Bi 0.5000 0.5000 0.0000  -0.03
3 Pd 0.1742 0.6742 0.5000  0.27
4 Pd 0.6742 0.8258 0.5000  0.26
5 Pd 0.8258 0.3258 0.5000  0.27
6 Pd 0.3258 0.1742 0.5000  0.26
7 Fe 0.3880 0.8880 0.0000  3.00
8 Fe 0.8880 0.6120 0.0000  2.99
9 Fe 0.6120 0.1120 0.0000  3.00
10 Fe 0.1120 0.3880 0.0000  2.99

Results
- D(E_F) (states/eV per cell) = 5.24
- ΔE_f (eV per atom) = 0.1470
- excess energy over the best structure of this formula in the dataset (eV per atom) = 0.0000


(12)
# CdPtSe

CdPtSe after structural relaxation (PBE-GGA, the Alexandria database).

Unit cell a=5.2911 b=5.2911 c=5.2911 alpha=141.40 beta=141.35 gamma=55.77
Sites, in units of the cell vectors:
1 Cd 0.9949 0.9949 0.0000
2 Pt 0.3145 0.3145 0.0000
3 Se 0.6906 0.6906 0.0000

Results
- D(E_F) (states/eV per cell) = 1.16
- excess energy over the best structure of this formula in the dataset (eV per atom) = 0.2689
- E_form (uncorrected) (eV per atom) = 0.026


Question: Among the records above, which one has the highest D(E_F)?
Answer: AcNd5Y12